Below is an optimized crystal structure of LiMnOs3, with properties calculated at the PBE-GGA level.

Output
The value obtained for the formation energy is 7.8 eV per formula unit. Its density of states at the Fermi level is 6.171 states/eV/cell. As for the crystal system: cubic. The value obtained for the final energy is -7.40 eV per atom.

Lattice parameters (Å, degrees): 4.436 4.436 4.436 90.00 90.00 90.00
Element x y z (fractional)
1 Li 0.000 0.000 0.000
2 Mn 0.500 0.500 0.500
3 Os 0.000 0.500 0.500
4 Os 0.500 0.000 0.500
5 Os 0.500 0.500 0.000